No. 1
This record from Alexandria describes Pd2S6Cl after structural relaxation. The functional is GGA-PBE.

Unit cell a=10.4442 b=10.4442 c=4.8835 alpha=94.21 beta=94.21 gamma=87.19
Closest atoms and distances in Å follow each position.
Positions (direct):
Pd  0.1031  0.6239  0.7050  4 S 2.35-2.49, 1 Cl 2.50
Pd  0.3761  0.8969  0.7950  4 S 2.35-2.49, 1 Cl 2.50
Pd  0.6239  0.1031  0.2050  4 S 2.35-2.49, 1 Cl 2.50
Pd  0.8969  0.3761  0.2950  4 S 2.35-2.49, 1 Cl 2.50
S  0.0548  0.8401  0.8499  1 S 1.95
S  0.1170  0.4175  0.3185  1 S 1.99
S  0.1214  0.5967  0.2090  1 S 1.99
S  0.1599  0.9452  0.6501  1 S 1.95
S  0.4033  0.8786  0.2910  1 S 1.99
S  0.4175  0.1170  0.8185  1 S 1.99
S  0.5825  0.8830  0.1815  1 S 1.99
S  0.5967  0.1214  0.7090  1 S 1.99
S  0.8401  0.0548  0.3499  1 S 1.95
S  0.8786  0.4033  0.7910  1 S 1.99
S  0.8830  0.5825  0.6815  1 S 1.99
S  0.9452  0.1599  0.1501  1 S 1.95
Cl  0.3386  0.6614  0.7500  2 Pd 2.50
Cl  0.6614  0.3386  0.2500  2 Pd 2.50

Summary:
- Space-group type: C2/c

---

No. 2
This record from Alexandria describes Li2PaPdO6 after structural relaxation. The functional is GGA-PBE.

Unit cell a=5.8745 b=5.8745 c=5.8745 alpha=52.78 beta=52.78 gamma=52.78
Closest atoms and distances in Å follow each position.
Positions (direct):
Li  0.2028  0.2028  0.2028  3 O 2.01
Li  0.7972  0.7972  0.7972  3 O 2.01
Pa  0.0000  0.0000  0.0000  6 O 2.17
Pd  0.5000  0.5000  0.5000  6 O 2.00
O  0.1266  0.7571  0.3919  1 Pd 2.00, 1 Li 2.01, 1 Pa 2.17
O  0.2429  0.6081  0.8734  1 Pd 2.00, 1 Li 2.01, 1 Pa 2.17
O  0.3919  0.1266  0.7571  1 Pd 2.00, 1 Li 2.01, 1 Pa 2.17
O  0.6081  0.8734  0.2429  1 Pd 2.00, 1 Li 2.01, 1 Pa 2.17
O  0.7571  0.3919  0.1266  1 Pd 2.00, 1 Li 2.01, 1 Pa 2.17
O  0.8734  0.2429  0.6081  1 Pd 2.00, 1 Li 2.01, 1 Pa 2.17

Summary:
- Space-group type: R-3

---

No. 3
This record from Alexandria describes TlAgOs2 after structural relaxation. The functional is GGA-PBE.

Unit cell a=2.8079 b=4.4519 c=5.7022 alpha=90.00 beta=90.00 gamma=90.00
Closest atoms and distances in Å follow each position.
Positions (direct):
Tl  0.0000  0.0000  0.0000  2 Tl 2.81, 2 Ag 2.85, 8 Os 3.11
Ag  0.0000  0.0000  0.5000  2 Ag 2.81, 2 Tl 2.85, 8 Os 2.89
Os  0.5000  0.5000  0.2891  1 Os 2.41
Os  0.5000  0.5000  0.7109  1 Os 2.41

Summary:
- Energy above the lowest structure with this stoichiometry: 232.7 kJ/mol of formula units
- Space-group type: Pmmm
- Energy of formation from the pure elements: 1116 meV/atom

---

No. 4
This record from Alexandria describes MgTcPt2C after structural relaxation. The functional is GGA-PBE.

Unit cell a=4.9410 b=4.9410 c=3.8412 alpha=90.00 beta=90.00 gamma=90.00
Closest atoms and distances in Å follow each position.
Positions (direct):
Mg  0.0000  0.0000  0.0000  8 Pt 3.13, 4 C 3.49
Tc  0.5000  0.5000  0.5000  2 C 1.92
Pt  0.0000  0.5000  0.5000  2 Tc 2.47
Pt  0.5000  0.0000  0.5000  2 Tc 2.47
C  0.5000  0.5000  0.0000  2 Tc 1.92

Summary:
- Space-group type: P4/mmm
- Energy of formation from the pure elements: 882 meV/atom

---

No. 5
This record from Alexandria describes CaInTe4Pb2 after structural relaxation. The functional is GGA-PBE.

Unit cell a=7.9257 b=4.5337 c=7.9740 alpha=90.00 beta=109.59 gamma=90.00
Closest atoms and distances in Å follow each position.
Positions (direct):
Ca  0.0000  0.0000  0.0000  6 Te 3.19-3.22
In  0.0000  0.5000  0.5000  6 Te 3.17-3.21
Te  0.2391  0.0000  0.7443  2 In 3.17, 1 Ca 3.22, 3 Pb 3.28
Te  0.2407  0.5000  0.2473  2 Ca 3.19, 1 In 3.21, 3 Pb 3.26-3.29
Te  0.7593  0.5000  0.7527  2 Ca 3.19, 1 In 3.21, 3 Pb 3.26-3.29
Te  0.7609  0.0000  0.2557  2 In 3.17, 1 Ca 3.22, 3 Pb 3.28
Pb  0.5000  0.0000  0.5000  6 Te 3.26-3.28
Pb  0.5000  0.5000  0.0000  6 Te 3.28-3.29

Summary:
- Space-group type: P2/m

---

No. 6
This record from Alexandria describes SrCd4Ag8 after structural relaxation. The functional is GGA-PBE.

Unit cell a=7.4789 b=7.4789 c=7.4789 alpha=98.44 beta=98.44 gamma=134.96
Closest atoms and distances in Å follow each position.
Positions (direct):
Sr  0.0000  0.0000  0.0000  12 Ag 3.45-3.57, 8 Cd 3.74
Cd  0.0000  0.0000  0.5000  8 Ag 2.85-3.01, 2 Cd 2.86
Cd  0.0000  0.5000  0.0000  8 Ag 2.85-3.01, 2 Cd 2.86
Cd  0.5000  0.0000  0.0000  8 Ag 2.85-3.01, 2 Cd 2.86
Cd  0.5000  0.5000  0.5000  8 Ag 2.85-3.01, 2 Cd 2.86
Ag  0.0000  0.3536  0.3536  5 Ag 2.86-3.16, 4 Cd 3.01
Ag  0.0000  0.6464  0.6464  5 Ag 2.86-3.16, 4 Cd 3.01
Ag  0.2821  0.5000  0.7821  4 Cd 2.85, 6 Ag 3.01-3.16
Ag  0.3536  0.0000  0.3536  5 Ag 2.86-3.16, 4 Cd 3.01
Ag  0.5000  0.2821  0.7821  4 Cd 2.85, 6 Ag 3.01-3.16
Ag  0.5000  0.7179  0.2179  4 Cd 2.85, 6 Ag 3.01-3.16
Ag  0.6464  0.0000  0.6464  5 Ag 2.86-3.16, 4 Cd 3.01
Ag  0.7179  0.5000  0.2179  4 Cd 2.85, 6 Ag 3.01-3.16

Summary:
- Space-group type: I4/mmm
- Energy of formation from the pure elements: -93 meV/atom

---

No. 7
This record from Alexandria describes KMgCd2Sn2 after structural relaxation. The functional is GGA-PBE.

Unit cell a=4.9794 b=4.9794 c=8.1823 alpha=90.00 beta=90.00 gamma=120.00
Closest atoms and distances in Å follow each position.
Positions (direct):
K  0.0000  0.0000  0.0000  6 Sn 3.71, 6 Cd 3.89, 2 Mg 4.09
Mg  0.0000  0.0000  0.5000  6 Cd 3.23, 6 Sn 3.36
Cd  0.3333  0.6667  0.6797  4 Sn 2.89-3.21, 3 Mg 3.23
Cd  0.6667  0.3333  0.3203  4 Sn 2.89-3.21, 3 Mg 3.23
Sn  0.3333  0.6667  0.2868  4 Cd 2.89-3.21
Sn  0.6667  0.3333  0.7132  4 Cd 2.89-3.21

Summary:
- Space-group type: P-3m1
- Energy of formation from the pure elements: -100 meV/atom

---

No. 8
This record from Alexandria describes Sm3Dy3Y2 after structural relaxation. The functional is GGA-PBE.

Unit cell a=5.7148 b=14.6193 c=6.3142 alpha=90.00 beta=90.00 gamma=90.00
Closest atoms and distances in Å follow each position.
Positions (direct):
Sm  0.2500  0.1251  0.1714  6 Dy 3.55-3.67, 3 Sm 3.55-3.65, 3 Y 3.56-3.64
Sm  0.2500  0.3749  0.1714  6 Dy 3.55-3.67, 3 Sm 3.55-3.65, 3 Y 3.56-3.64
Sm  0.2500  0.7500  0.6618  4 Dy 3.55-3.66, 4 Sm 3.55, 4 Y 3.65-3.67
Sm  0.7500  0.2500  0.3382  4 Dy 3.55-3.66, 4 Sm 3.55, 4 Y 3.65-3.67
Sm  0.7500  0.6251  0.8286  6 Dy 3.55-3.67, 3 Sm 3.55-3.65, 3 Y 3.56-3.64
Sm  0.7500  0.8749  0.8286  6 Dy 3.55-3.67, 3 Sm 3.55-3.65, 3 Y 3.56-3.64
Dy  0.2500  0.0005  0.6662  4 Y 3.54-3.65, 3 Dy 3.55-3.65, 5 Sm 3.55-3.67
Dy  0.2500  0.2500  0.6711  6 Sm 3.55-3.65, 4 Y 3.56, 2 Dy 3.65
Dy  0.2500  0.4995  0.6662  4 Y 3.54-3.65, 3 Dy 3.55-3.65, 5 Sm 3.55-3.67
Dy  0.7500  0.5005  0.3338  4 Y 3.54-3.65, 3 Dy 3.55-3.65, 5 Sm 3.55-3.67
Dy  0.7500  0.7500  0.3289  6 Sm 3.55-3.65, 4 Y 3.56, 2 Dy 3.65
Dy  0.7500  0.9995  0.3338  4 Y 3.54-3.65, 3 Dy 3.55-3.65, 5 Sm 3.55-3.67
Y  0.2500  0.6237  0.1639  6 Dy 3.54-3.65, 5 Sm 3.56-3.67, 1 Y 3.69
Y  0.2500  0.8763  0.1639  6 Dy 3.54-3.65, 5 Sm 3.56-3.67, 1 Y 3.69
Y  0.7500  0.1237  0.8361  6 Dy 3.54-3.65, 5 Sm 3.56-3.67, 1 Y 3.69
Y  0.7500  0.3763  0.8361  6 Dy 3.54-3.65, 5 Sm 3.56-3.67, 1 Y 3.69

Summary:
- Energy above the lowest structure with this stoichiometry: 0.0 kJ/mol of formula units
- Space-group type: Pmmn
- Energy of formation from the pure elements: 17 meV/atom

---

Total energy list, top to bottom, in eV per atom: -4.217; -6.723; -5.803; -5.772; -3.739; -2.258; -2.188; -5.094
D(E_F) list, top to bottom, in states/eV per cell: 0.47; 8.95; 4.34; 3.41; 3.42; 4.57; 1.69; 30.24